1.
The following is a GGA-PBE calculation of a relaxed Nd2Al3Cu12Ni crystal, from Alexandria.

Lattice parameters (Å, degrees): 6.1731 6.1731 26.8236 90.00 90.00 120.00
Space group R-3m (No. 166, hexagonal axes)
Unique sites:
Nd 0.0000 0.0000 0.1532
Al 0.0000 0.5000 0.0000
Cu 0.0554 0.5277 0.0965
Cu 0.0730 0.5365 0.6164
Ni 0.0000 0.0000 0.5000

**Formation enthalpy at 0 K**: 0.09 eV/atom

=====

2.
The following is a GGA-PBE calculation of a relaxed Nd2AlCu2O6 crystal, from Alexandria.

Lattice parameters (Å, degrees): 5.7360 5.7360 14.6956 90.00 90.00 120.00
Space group R-3m (No. 166, hexagonal axes)
Unique sites:
Nd 0.0000 0.0000 0.2138
Al 0.0000 0.0000 0.0000
Cu 0.0000 0.0000 0.4139
O 0.0430 0.5215 0.7520

**Raw formation energy**: -22.739 eV per formula unit

=====

3.
The following is a GGA-PBE calculation of a relaxed NdAlCuPd crystal, from Alexandria.

Lattice parameters (Å, degrees): 7.6018 4.3802 5.4219 90.00 117.83 90.00
Space group Cm (No. 8)
Unique sites:
Nd 0.0000 0.0000 0.0000
Al 0.4984 0.0000 0.4952
Cu 0.2043 0.0000 0.6131
Pd 0.2949 0.5000 0.3848

**Relative energy among the computed polymorphs**: 0 meV per atom
**Formation enthalpy at 0 K**: -0.59 eV/atom

=====

4.
The following is a GGA-PBE calculation of a relaxed Nd2Al2CuPd5 crystal, from Alexandria.

Lattice parameters (Å, degrees): 10.5095 10.5095 3.2980 90.00 90.00 90.00
Space group P4/mbm (No. 127)
Unique sites:
Nd 0.1753 0.3247 0.0000
Al 0.1277 0.6277 0.0000
Cu 0.0000 0.0000 0.0000
Pd 0.0000 0.5000 0.5000
Pd 0.0575 0.8037 0.5000

**Formation enthalpy at 0 K**: -0.61 eV/atom

=====

5.
The following is a GGA-PBE calculation of a relaxed NdAlCu2Pd4 crystal, from Alexandria.

Lattice parameters (Å, degrees): 4.3759 4.3759 24.0483 90.00 90.00 120.00
Space group R-3m (No. 166, hexagonal axes)
Unique sites:
Nd 0.0000 0.0000 0.0000
Al 0.0000 0.0000 0.5000
Cu 0.0000 0.0000 0.2443
Pd 0.0000 0.0000 0.1314
Pd 0.0000 0.0000 0.3987

**Formation enthalpy at 0 K**: -0.55 eV/atom

=====

6.
The following is a GGA-PBE calculation of a relaxed Nd2Al3CuPd4 crystal, from Alexandria.

Lattice parameters (Å, degrees): 4.3258 4.3258 10.2693 90.00 90.00 90.00
Space group P-4m2 (No. 115)
Unique sites:
Nd 0.0000 0.5000 0.2463
Al 0.0000 0.0000 0.0000
Al 0.0000 0.5000 0.6244
Cu 0.5000 0.5000 0.0000
Pd 0.0000 0.0000 0.5000
Pd 0.0000 0.5000 0.8664
Pd 0.5000 0.5000 0.5000

**Formation enthalpy at 0 K**: -0.76 eV/atom

=====

7.
The following is a GGA-PBE calculation of a relaxed NdAlCuPd crystal, from Alexandria.

Lattice parameters (Å, degrees): 6.7253 6.7253 6.7253 90.00 90.00 90.00
Space group F-43m (No. 216)
Unique sites:
Nd 0.0000 0.0000 0.0000
Al 0.0000 0.0000 0.5000
Cu 0.2500 0.2500 0.7500
Pd 0.2500 0.2500 0.2500

**Relative energy among the computed polymorphs**: 130 meV per atom
**Formation enthalpy at 0 K**: -0.46 eV/atom

=====

8.
The following is a GGA-PBE calculation of a relaxed Nd2Al4CuPd3 crystal, from Alexandria.

Lattice parameters (Å, degrees): 4.4070 4.4070 9.9222 90.00 90.00 90.00
Space group P-4m2 (No. 115)
Unique sites:
Nd 0.0000 0.5000 0.2448
Al 0.0000 0.0000 0.5000
Al 0.0000 0.5000 0.8795
Al 0.5000 0.5000 0.5000
Cu 0.5000 0.5000 0.0000
Pd 0.0000 0.0000 0.0000
Pd 0.0000 0.5000 0.6298

**Formation enthalpy at 0 K**: -0.74 eV/atom

=====

9.
The following is a GGA-PBE calculation of a relaxed Nd3Al2CuPd9 crystal, from Alexandria.

Lattice parameters (Å, degrees): 7.2224 7.2224 6.8110 90.00 90.00 120.00
Space group P-3m1 (No. 164)
Unique sites:
Nd 0.0000 0.0000 0.0000
Nd 0.3333 0.6667 0.6624
Al 0.3333 0.6667 0.1666
Cu 0.0000 0.0000 0.5000
Pd 0.0000 0.5000 0.0000
Pd 0.1691 0.3382 0.3329

**Formation enthalpy at 0 K**: -0.46 eV/atom

=====

10.
The following is a GGA-PBE calculation of a relaxed PmNdAlCu crystal, from Alexandria.

Lattice parameters (Å, degrees): 7.3456 7.3456 7.3456 90.00 90.00 90.00
Space group F-43m (No. 216)
Unique sites:
Pm 0.0000 0.0000 0.0000
Nd 0.0000 0.0000 0.5000
Al 0.2500 0.2500 0.7500
Cu 0.2500 0.2500 0.2500

**Formation enthalpy at 0 K**: -0.21 eV/atom

=====

11.
The following is a GGA-PBE calculation of a relaxed Nd2Al3CuPt4 crystal, from Alexandria.

Lattice parameters (Å, degrees): 4.2976 4.2976 10.3424 90.00 90.00 90.00
Space group P-4m2 (No. 115)
Unique sites:
Nd 0.0000 0.5000 0.2473
Al 0.0000 0.0000 0.0000
Al 0.0000 0.5000 0.6253
Cu 0.5000 0.5000 0.0000
Pt 0.0000 0.0000 0.5000
Pt 0.0000 0.5000 0.8645
Pt 0.5000 0.5000 0.5000

**Formation enthalpy at 0 K**: -0.99 eV/atom

=====

12.
The following is a GGA-PBE calculation of a relaxed Nd2AlCuPt6 crystal, from Alexandria.

Lattice parameters (Å, degrees): 5.6062 5.6062 23.1958 90.00 90.00 120.00
Space group R-3m (No. 166, hexagonal axes)
Unique sites:
Nd 0.0000 0.0000 0.2031
Al 0.0000 0.0000 0.0000
Cu 0.0000 0.0000 0.5000
Pt 0.0051 0.5026 0.2524

**Formation enthalpy at 0 K**: -0.75 eV/atom

=====

13.
The following is a GGA-PBE calculation of a relaxed NdAl2CuPt4 crystal, from Alexandria.

Lattice parameters (Å, degrees): 4.2682 4.2682 26.5261 90.00 90.00 120.00
Space group R-3m (No. 166, hexagonal axes)
Unique sites:
Nd 0.0000 0.0000 0.0000
Al 0.0000 0.0000 0.2349
Cu 0.0000 0.0000 0.5000
Pt 0.0000 0.0000 0.1322
Pt 0.0000 0.0000 0.4038

**Formation enthalpy at 0 K**: -0.88 eV/atom

=====

14.
The following is a GGA-PBE calculation of a relaxed Nd3AlCu2Pt9 crystal, from Alexandria.

Lattice parameters (Å, degrees): 7.5730 7.5730 6.1477 90.00 90.00 120.00
Space group P-3m1 (No. 164)
Unique sites:
Nd 0.0000 0.0000 0.0000
Nd 0.3333 0.6667 0.6711
Al 0.0000 0.0000 0.5000
Cu 0.3333 0.6667 0.1676
Pt 0.0000 0.5000 0.0000
Pt 0.1649 0.3299 0.3317

**Formation enthalpy at 0 K**: -0.46 eV/atom

=====

15.
The following is a GGA-PBE calculation of a relaxed NdAlCu2Pt4 crystal, from Alexandria.

Lattice parameters (Å, degrees): 4.3337 4.3337 24.9363 90.00 90.00 120.00
Space group R-3m (No. 166, hexagonal axes)
Unique sites:
Nd 0.0000 0.0000 0.0000
Al 0.0000 0.0000 0.5000
Cu 0.0000 0.0000 0.2451
Pt 0.0000 0.0000 0.1318
Pt 0.0000 0.0000 0.4021

**Formation enthalpy at 0 K**: -0.66 eV/atom

=====

16.
The following is a GGA-PBE calculation of a relaxed NdAlCuPt3 crystal, from Alexandria.

Lattice parameters (Å, degrees): 6.7661 11.7476 5.7535 90.00 90.00 90.00
Space group Cmcm (No. 63)
Unique sites:
Nd 0.0000 0.2125 0.2500
Al 0.0000 0.1257 0.7500
Cu 0.0000 0.4509 0.2500
Pt 0.0000 0.3282 0.7500
Pt 0.2090 0.0000 0.0000

**Formation enthalpy at 0 K**: -0.62 eV/atom

=====

17.
The following is a GGA-PBE calculation of a relaxed Nd2Al2CuPt5 crystal, from Alexandria.

Lattice parameters (Å, degrees): 10.3930 10.3930 3.3548 90.00 90.00 90.00
Space group P4/mbm (No. 127)
Unique sites:
Nd 0.1756 0.3244 0.0000
Al 0.1281 0.6281 0.0000
Cu 0.0000 0.0000 0.0000
Pt 0.0000 0.5000 0.5000
Pt 0.0562 0.8034 0.5000

**Formation enthalpy at 0 K**: -0.79 eV/atom

=====

18.
The following is a GGA-PBE calculation of a relaxed Nd2Al3Cu12Pt crystal, from Alexandria.

Lattice parameters (Å, degrees): 6.0356 6.0356 28.5116 90.00 90.00 120.00
Space group R-3m (No. 166, hexagonal axes)
Unique sites:
Nd 0.0000 0.0000 0.1478
Al 0.0000 0.5000 0.0000
Cu 0.0416 0.5208 0.0956
Cu 0.0698 0.5349 0.6177
Pt 0.0000 0.0000 0.5000

**Formation enthalpy at 0 K**: 0.03 eV/atom

=====

19.
The following is a GGA-PBE calculation of a relaxed Nd2Al4CuRh3 crystal, from Alexandria.

Lattice parameters (Å, degrees): 4.2630 4.2630 10.2641 90.00 90.00 90.00
Space group P-4m2 (No. 115)
Unique sites:
Nd 0.0000 0.5000 0.2445
Al 0.0000 0.0000 0.5000
Al 0.0000 0.5000 0.8761
Al 0.5000 0.5000 0.5000
Cu 0.5000 0.5000 0.0000
Rh 0.0000 0.0000 0.0000
Rh 0.0000 0.5000 0.6308

**Formation enthalpy at 0 K**: -0.74 eV/atom

=====

20.
The following is a GGA-PBE calculation of a relaxed Nd2Al2CuRh5 crystal, from Alexandria.

Lattice parameters (Å, degrees): 9.9727 9.9727 3.4860 90.00 90.00 90.00
Space group P4/mbm (No. 127)
Unique sites:
Nd 0.1768 0.3232 0.0000
Al 0.1230 0.6230 0.0000
Cu 0.0000 0.0000 0.0000
Rh 0.0000 0.5000 0.5000
Rh 0.0626 0.7951 0.5000

**Formation enthalpy at 0 K**: -0.59 eV/atom

=====

Number 1: spin magnetization 0.00 μB/f.u., DOS(E_F) 9.48 states/eV/f.u.. Number 2: spin magnetization 1.06 μB/f.u., DOS(E_F) 6.71 states/eV/f.u.. Number 3: spin magnetization 0.00 μB/f.u., DOS(E_F) 2.63 states/eV/f.u.. Number 4: spin magnetization 0.00 μB/f.u., DOS(E_F) 5.01 states/eV/f.u.. Number 5: spin magnetization 0.00 μB/f.u., DOS(E_F) 3.08 states/eV/f.u.. Number 6: spin magnetization 0.00 μB/f.u., DOS(E_F) 4.85 states/eV/f.u.. Number 7: spin magnetization 0.00 μB/f.u., DOS(E_F) 3.88 states/eV/f.u.. Number 8: spin magnetization 0.00 μB/f.u., DOS(E_F) 7.27 states/eV/f.u.. Number 9: spin magnetization 0.00 μB/f.u., DOS(E_F) 6.86 states/eV/f.u.. Number 10: spin magnetization 0.00 μB/f.u., DOS(E_F) 4.86 states/eV/f.u.. Number 11: spin magnetization 0.00 μB/f.u., DOS(E_F) 6.56 states/eV/f.u.. Number 12: spin magnetization 0.00 μB/f.u., DOS(E_F) 5.87 states/eV/f.u.. Number 13: spin magnetization 0.00 μB/f.u., DOS(E_F) 4.79 states/eV/f.u.. Number 14: spin magnetization 0.00 μB/f.u., DOS(E_F) 3.68 states/eV/f.u.. Number 15: spin magnetization 0.00 μB/f.u., DOS(E_F) 2.98 states/eV/f.u.. Number 16: spin magnetization 0.00 μB/f.u., DOS(E_F) 3.29 states/eV/f.u.. Number 17: spin magnetization 0.00 μB/f.u., DOS(E_F) 5.72 states/eV/f.u.. Number 18: spin magnetization 0.00 μB/f.u., DOS(E_F) 8.59 states/eV/f.u.. Number 19: spin magnetization 0.00 μB/f.u., DOS(E_F) 6.35 states/eV/f.u.. Number 20: spin magnetization 0.00 μB/f.u., DOS(E_F) 3.52 states/eV/f.u..